Record 1
The following is a PBE calculation of CaCr2Mo after structural relaxation, from Alexandria via LeMat-Bulk.

Cell and atoms, written as extended XYZ:
```
4
Lattice="4.5276 -1.4744 0.0000 4.5276 1.4744 0.0000 -0.5039 0.0000 5.8707" Properties=species:S:1:pos:R:3 pbc="T T T"
Ca 0.0000 0.0000 0.0000
Cr 1.8818 0.0000 3.6987
Cr 6.6694 0.0000 2.1721
Mo 4.2756 0.0000 2.9354
```

Summary:
Energy relative to the lowest polymorph listed for this composition, meV/atom: 201.5
Symmetry: C2/m (12)
ΔE_f, meV per atom: 704

---

Record 2
The following is a PBE calculation of TeMoOs2 after structural relaxation, from Alexandria via LeMat-Bulk.

Cell and atoms, written as extended XYZ:
```
4
Lattice="2.9947 0.0000 0.0000 0.0000 3.8543 0.0000 0.0000 0.0000 5.7468" Properties=species:S:1:pos:R:3 pbc="T T T"
Te 0.0000 0.0000 0.0000
Mo 0.0000 0.0000 2.8734
Os 1.4973 1.9271 1.5507
Os 1.4973 1.9271 4.1961
```

Summary:
Symmetry: Pmmm (47)
Final energy, eV for the cell shown: -33.967

---

Record 3
The following is a PBE calculation of SrAg4Br6 after structural relaxation, from Alexandria via LeMat-Bulk.

Cell and atoms, written as extended XYZ:
```
11
Lattice="3.9733 -3.8867 0.0000 3.9733 3.8867 0.0000 -2.0083 0.0000 10.8347" Properties=species:S:1:pos:R:3 pbc="T T T"
Sr 0.0000 0.0000 0.0000
Ag 1.9966 0.0000 3.4470
Ag 4.0057 1.9671 6.9648
Ag 5.9342 0.0000 3.4386
Ag 4.0057 -1.9671 6.9648
Br 3.9701 1.9826 2.5747
Br 2.0245 0.0000 6.1389
Br 3.9507 1.9427 9.6540
Br 3.9701 -1.9826 2.5747
Br 5.9643 0.0000 6.1458
Br 3.9507 -1.9427 9.6540
```

Summary:
Symmetry: Cm (8)
Final energy, eV for the cell shown: -31.532

---

Copy entry 3 word for word.
The following is a PBE calculation of SrAg4Br6 after structural relaxation, from Alexandria via LeMat-Bulk.

Cell and atoms, written as extended XYZ:
```
11
Lattice="3.9733 -3.8867 0.0000 3.9733 3.8867 0.0000 -2.0083 0.0000 10.8347" Properties=species:S:1:pos:R:3 pbc="T T T"
Sr 0.0000 0.0000 0.0000
Ag 1.9966 0.0000 3.4470
Ag 4.0057 1.9671 6.9648
Ag 5.9342 0.0000 3.4386
Ag 4.0057 -1.9671 6.9648
Br 3.9701 1.9826 2.5747
Br 2.0245 0.0000 6.1389
Br 3.9507 1.9427 9.6540
Br 3.9701 -1.9826 2.5747
Br 5.9643 0.0000 6.1458
Br 3.9507 -1.9427 9.6540
```

Summary:
Symmetry: Cm (8)
Final energy, eV for the cell shown: -31.532